Compound: Ga2Re2Te
Source: OQMD
Functional: PBE
Structure: relaxed

Output
E_tot ... -122.21 eV per cell

Cell lengths 7.2531, 7.2531, 7.8821 Å; angles 90.00, 90.00, 90.00 degrees
Space group I4_1md (No. 109)
Symmetry-distinct sites (fractional):
1 Ga 0.0000 0.1973 0.0000 x8
2 Re 0.0000 0.1673 0.6858 x8
3 Te 0.0000 0.0000 0.2877 x4


Compound: ThGaRe
Source: OQMD
Functional: PBE
Structure: relaxed

Output
E_tot ... -86.87 eV per cell

Cell lengths 6.4916, 6.4916, 6.4916 Å; angles 90.00, 90.00, 90.00 degrees
Space group F-43m (No. 216)
Symmetry-distinct sites (fractional):
1 Th 0.0000 0.0000 0.0000 x4
2 Ga 0.2500 0.2500 0.7500 x4
3 Re 0.0000 0.0000 0.5000 x4


Compound: TlGaRe
Source: OQMD
Functional: PBE
Structure: relaxed

Output
ΔE to the lowest computed polymorph ... 0 meV/atom
E_tot ... -59.65 eV per cell

Cell lengths 6.3779, 6.3779, 6.3779 Å; angles 90.00, 90.00, 90.00 degrees
Space group F-43m (No. 216)
Symmetry-distinct sites (fractional):
1 Tl 0.0000 0.0000 0.0000 x4
2 Ga 0.0000 0.0000 0.5000 x4
3 Re 0.2500 0.2500 0.7500 x4


Compound: TmGaRe
Source: OQMD
Functional: PBE
Structure: relaxed

Output
E_tot ... -66.41 eV per cell

Cell lengths 6.5160, 6.5160, 6.5160 Å; angles 90.00, 90.00, 90.00 degrees
Space group F-43m (No. 216)
Symmetry-distinct sites (fractional):
1 Tm 0.0000 0.0000 0.0000 x4
2 Ga 0.2500 0.2500 0.7500 x4
3 Re 0.2500 0.2500 0.2500 x4


Compound: UGaRe
Source: OQMD
Functional: PBE
Structure: relaxed

Output
E_tot ... -95.14 eV per cell

Cell lengths 6.4090, 6.4090, 6.4090 Å; angles 90.00, 90.00, 90.00 degrees
Space group F-43m (No. 216)
Symmetry-distinct sites (fractional):
1 U 0.0000 0.0000 0.0000 x4
2 Ga 0.2500 0.2500 0.7500 x4
3 Re 0.2500 0.2500 0.2500 x4


Compound: UGaRe
Source: OQMD
Functional: PBE
Structure: relaxed

Output
E_tot ... -102.78 eV per cell

Cell lengths 6.3367, 6.3367, 6.3367 Å; angles 90.00, 90.00, 90.00 degrees
Space group F-43m (No. 216)
Symmetry-distinct sites (fractional):
1 U 0.0000 0.0000 0.0000 x4
2 Ga 0.0000 0.0000 0.5000 x4
3 Re 0.2500 0.2500 0.2500 x4


Compound: GaReW2
Source: OQMD
Functional: PBE
Structure: relaxed

Output
E_tot ... -162.07 eV per cell

Cell lengths 6.2828, 6.2828, 6.2828 Å; angles 90.00, 90.00, 90.00 degrees
Space group F-43m (No. 216)
Symmetry-distinct sites (fractional):
1 Ga 0.0000 0.0000 0.0000 x4
2 Re 0.2500 0.2500 0.2500 x4
3 W 0.0000 0.0000 0.5000 x4
4 W 0.2500 0.2500 0.7500 x4


Compound: YGaRe
Source: OQMD
Functional: PBE
Structure: relaxed

Output
ΔE to the lowest computed polymorph ... 0 meV/atom
E_tot ... -83.47 eV per cell

Cell lengths 6.3196, 6.3196, 6.3196 Å; angles 90.00, 90.00, 90.00 degrees
Space group F-43m (No. 216)
Symmetry-distinct sites (fractional):
1 Y 0.0000 0.0000 0.0000 x4
2 Ga 0.2500 0.2500 0.7500 x4
3 Re 0.0000 0.0000 0.5000 x4


Compound: YGaRe
Source: OQMD
Functional: PBE
Structure: relaxed

Output
ΔE to the lowest computed polymorph ... 834 meV/atom
E_tot ... -73.46 eV per cell

Cell lengths 6.6083, 6.6083, 6.6083 Å; angles 90.00, 90.00, 90.00 degrees
Space group F-43m (No. 216)
Symmetry-distinct sites (fractional):
1 Y 0.0000 0.0000 0.0000 x4
2 Ga 0.2500 0.2500 0.7500 x4
3 Re 0.2500 0.2500 0.2500 x4


Compound: YGa4Re
Source: OQMD
Functional: PBE
Structure: relaxed

Output
E_tot ... -31.96 eV per cell

Cell lengths 4.4356, 4.4356, 6.0970 Å; angles 90.00, 90.00, 120.00 degrees
Space group P-6m2 (No. 187)
Symmetry-distinct sites (fractional):
1 Y 0.0000 0.0000 0.0000 x1
2 Ga 0.3333 0.6667 0.2879 x2
3 Ga 0.6667 0.3333 0.2896 x2
4 Re 0.0000 0.0000 0.5000 x1


Compound: Y2GaRe
Source: OQMD
Functional: PBE
Structure: relaxed

Output
E_tot ... -110.82 eV per cell

Cell lengths 6.8697, 6.8697, 6.8697 Å; angles 90.00, 90.00, 90.00 degrees
Space group F-43m (No. 216)
Symmetry-distinct sites (fractional):
1 Y 0.0000 0.0000 0.0000 x4
2 Y 0.2500 0.2500 0.2500 x4
3 Ga 0.0000 0.0000 0.5000 x4
4 Re 0.2500 0.2500 0.7500 x4


Compound: YGa2Re
Source: OQMD
Functional: PBE
Structure: relaxed

Output
E_tot ... -95.57 eV per cell

Cell lengths 6.6291, 6.6291, 6.6291 Å; angles 90.00, 90.00, 90.00 degrees
Space group F-43m (No. 216)
Symmetry-distinct sites (fractional):
1 Y 0.0000 0.0000 0.0000 x4
2 Ga 0.0000 0.0000 0.5000 x4
3 Ga 0.2500 0.2500 0.2500 x4
4 Re 0.2500 0.2500 0.7500 x4


Compound: Zn2GaRe
Source: OQMD
Functional: PBE
Structure: relaxed

Output
E_tot ... -66.16 eV per cell

Cell lengths 6.1548, 6.1548, 6.1548 Å; angles 90.00, 90.00, 90.00 degrees
Space group F-43m (No. 216)
Symmetry-distinct sites (fractional):
1 Zn 0.0000 0.0000 0.0000 x4
2 Zn 0.2500 0.2500 0.2500 x4
3 Ga 0.0000 0.0000 0.5000 x4
4 Re 0.2500 0.2500 0.7500 x4


Compound: ZnGaRe2
Source: OQMD
Functional: PBE
Structure: relaxed

Output
E_tot ... -112.75 eV per cell

Cell lengths 6.1461, 6.1461, 6.1461 Å; angles 90.00, 90.00, 90.00 degrees
Space group F-43m (No. 216)
Symmetry-distinct sites (fractional):
1 Zn 0.0000 0.0000 0.0000 x4
2 Ga 0.2500 0.2500 0.7500 x4
3 Re 0.0000 0.0000 0.5000 x4
4 Re 0.2500 0.2500 0.2500 x4


Compound: ZnGaRe
Source: OQMD
Functional: PBE
Structure: relaxed

Output
E_tot ... -58.43 eV per cell

Cell lengths 5.9951, 5.9951, 5.9951 Å; angles 90.00, 90.00, 90.00 degrees
Space group F-43m (No. 216)
Symmetry-distinct sites (fractional):
1 Zn 0.0000 0.0000 0.0000 x4
2 Ga 0.0000 0.0000 0.5000 x4
3 Re 0.2500 0.2500 0.7500 x4


Compound: Zr2GaRe
Source: OQMD
Functional: PBE
Structure: relaxed

Output
E_tot ... -131.88 eV per cell

Cell lengths 6.5917, 6.5917, 6.5917 Å; angles 90.00, 90.00, 90.00 degrees
Space group F-43m (No. 216)
Symmetry-distinct sites (fractional):
1 Zr 0.0000 0.0000 0.0000 x4
2 Zr 0.2500 0.2500 0.2500 x4
3 Ga 0.0000 0.0000 0.5000 x4
4 Re 0.2500 0.2500 0.7500 x4


Compound: ZrGaRe
Source: OQMD
Functional: PBE
Structure: relaxed

Output
ΔE to the lowest computed polymorph ... 0 meV/atom
E_tot ... -92.37 eV per cell

Cell lengths 6.2686, 6.2686, 6.2686 Å; angles 90.00, 90.00, 90.00 degrees
Space group F-43m (No. 216)
Symmetry-distinct sites (fractional):
1 Zr 0.0000 0.0000 0.0000 x4
2 Ga 0.0000 0.0000 0.5000 x4
3 Re 0.2500 0.2500 0.7500 x4


Compound: ZrGaRe2
Source: OQMD
Functional: PBE
Structure: relaxed

Output
E_tot ... -144.41 eV per cell

Cell lengths 6.3969, 6.3969, 6.3969 Å; angles 90.00, 90.00, 90.00 degrees
Space group F-43m (No. 216)
Symmetry-distinct sites (fractional):
1 Zr 0.0000 0.0000 0.0000 x4
2 Ga 0.2500 0.2500 0.7500 x4
3 Re 0.0000 0.0000 0.5000 x4
4 Re 0.2500 0.2500 0.2500 x4


Compound: ZrGaRe
Source: OQMD
Functional: PBE
Structure: relaxed

Output
ΔE to the lowest computed polymorph ... 480 meV/atom
E_tot ... -86.61 eV per cell

Cell lengths 6.3360, 6.3360, 6.3360 Å; angles 90.00, 90.00, 90.00 degrees
Space group F-43m (No. 216)
Symmetry-distinct sites (fractional):
1 Zr 0.0000 0.0000 0.0000 x4
2 Ga 0.2500 0.2500 0.7500 x4
3 Re 0.2500 0.2500 0.2500 x4


Compound: Sm4GaSbS9
Source: OQMD
Functional: PBE
Structure: relaxed

Output
E_tot ... -691.02 eV per cell

Cell lengths 13.7153, 14.0672, 14.3726 Å; angles 90.00, 90.00, 90.00 degrees
Space group Aea2 (No. 41)
Symmetry-distinct sites (fractional):
1 Sm 0.1001 0.1732 0.0000 x8
2 Sm 0.1046 0.1108 0.5498 x8
3 Sm 0.1833 0.1662 0.2817 x8
4 Sm 0.1867 0.3913 0.5090 x8
5 Ga 0.0918 0.3951 0.7715 x8
6 Sb 0.1128 0.4189 0.2349 x8
7 S 0.0000 0.0000 0.3619 x4
8 S 0.0000 0.0000 0.9956 x4
9 S 0.0086 0.1952 0.1791 x8
10 S 0.0693 0.2539 0.4239 x8
11 S 0.0810 0.0923 0.7460 x8
12 S 0.0999 0.4091 0.0628 x8
13 S 0.1893 0.3026 0.8668 x8
14 S 0.1992 0.4869 0.6851 x8
15 S 0.2458 0.2340 0.6148 x8
16 S 0.2469 0.0585 0.9292 x8